Compound: AlCo2
Source: Alexandria
Functional: GGA-PBE
Structure: relaxed

Energy of formation from the pure elements (eV/atom): 0.58
Magnetic moment (μB per formula unit): 2.2
Space-group type: No. 205

a = 5.536 Å, b = 5.536 Å, c = 5.536 Å
α = 90.00°, β = 90.00°, γ = 90.00°
Last column: magnetic moment on the atom in μB.
Fractional positions:
Co: 0.118 0.882 0.618  1.16
Co: 0.882 0.382 0.882  1.16
Co: 0.382 0.118 0.118  1.16
Co: 0.882 0.118 0.382  1.16
Co: 0.618 0.618 0.382  1.16
Co: 0.118 0.618 0.118  1.16
Co: 0.618 0.882 0.882  1.16
Co: 0.382 0.382 0.618  1.16
Al: 0.500 0.000 0.500  -0.05
Al: 0.000 0.000 0.000  -0.05
Al: 0.000 0.500 0.500  -0.05
Al: 0.500 0.500 0.000  -0.05